RbPa2BeO8 after structural relaxation. Source: the Alexandria database, functional PBE-GGA.

**Energy relative to the elements, uncorrected**: -2.359 eV per atom
**Crystal system**: trigonal

Geometry as POSCAR:
```
RbPa2BeO8
1.0
4.7622 0.0000 0.0000
-2.3811 4.1242 0.0000
0.0000 0.0000 9.1666
Rb Pa Be O
1 2 1 8
Direct
0.0000 0.0000 0.0000
0.3333 0.6667 0.3566
0.6667 0.3333 0.6434
0.0000 0.0000 0.5000
0.1669 0.3338 0.6214
0.1669 0.8331 0.6214
0.3333 0.6667 0.1487
0.3338 0.1669 0.3786
0.6662 0.8331 0.6214
0.6667 0.3333 0.8513
0.8331 0.1669 0.3786
0.8331 0.6662 0.3786
```


Tb2SmC3 after structural relaxation. Source: the Alexandria database, functional PBE-GGA.

**Energy of formation from the pure elements**: -0.0474 eV/atom
**Crystal system**: orthorhombic

Geometry as POSCAR:
```
Tb2SmC3
1.0
-2.8777 5.1879 3.7988
2.8777 -5.1879 3.7988
2.8777 5.1879 -3.7988
Tb Sm C
4 2 6
Direct
0.2428 0.1669 0.0759
0.4089 0.8331 0.5759
0.5911 0.1669 0.4241
0.7572 0.8331 0.9241
0.2176 0.4676 0.7500
0.7824 0.5324 0.2500
0.0000 0.3817 0.3817
0.0000 0.6183 0.6183
0.5000 0.0000 0.0000
0.5000 0.3817 0.8817
0.5000 0.5000 0.5000
0.5000 0.6183 0.1183
```


DyScCdCu after structural relaxation. Source: the Alexandria database, functional PBE-GGA.

**E above lowest polymorph**: 0.063 eV/atom
**Energy of formation from the pure elements**: -0.2088 eV/atom
**Crystal system**: cubic

Geometry as POSCAR:
```
DyScCdCu
1.0
0.0000 3.5219 3.5219
3.5219 0.0000 3.5219
3.5219 3.5219 0.0000
Dy Sc Cd Cu
1 1 1 1
Direct
0.0000 0.0000 0.0000
0.5000 0.5000 0.5000
0.2500 0.2500 0.2500
0.7500 0.7500 0.7500
```


MnIN2 after structural relaxation. Source: the Alexandria database, functional PBE-GGA.

**E above lowest polymorph**: 1.476 eV/atom
**Energy relative to the elements, uncorrected**: 2.004 eV per atom
**Crystal system**: cubic

Geometry as POSCAR:
```
MnIN2
1.0
0.0000 2.8074 2.8074
2.8074 0.0000 2.8074
2.8074 2.8074 0.0000
Mn I N
1 1 2
Direct
0.0000 0.0000 0.0000
0.5000 0.5000 0.5000
0.2500 0.2500 0.2500
0.7500 0.7500 0.7500
```


Mg2InSi2Rh5 after structural relaxation. Source: the Alexandria database, functional PBE-GGA.

**Energy relative to the elements, uncorrected**: -0.700 eV per atom
**Crystal system**: tetragonal

Geometry as POSCAR:
```
Mg2InSi2Rh5
1.0
9.6863 0.0000 0.0000
0.0000 9.6863 0.0000
0.0000 0.0000 3.3411
Mg In Si Rh
4 2 4 10
Direct
0.1723 0.3277 0.0000
0.3277 0.8277 0.0000
0.6723 0.1723 0.0000
0.8277 0.6723 0.0000
0.0000 0.0000 0.0000
0.5000 0.5000 0.0000
0.1269 0.6269 0.0000
0.3731 0.1269 0.0000
0.6269 0.8731 0.0000
0.8731 0.3731 0.0000
0.0000 0.5000 0.5000
0.0735 0.7880 0.5000
0.2120 0.0735 0.5000
0.2880 0.5735 0.5000
0.4265 0.2880 0.5000
0.5000 0.0000 0.5000
0.5735 0.7120 0.5000
0.7120 0.4265 0.5000
0.7880 0.9265 0.5000
0.9265 0.2120 0.5000
```


HgIrSe2 after structural relaxation. Source: the Alexandria database, functional PBE-GGA.

**Energy relative to the elements, uncorrected**: -0.010 eV per atom
**Crystal system**: monoclinic

Geometry as POSCAR:
```
HgIrSe2
1.0
5.3551 -1.8101 0.0000
5.3551 1.8101 0.0000
-1.7004 0.0000 4.7628
Hg Ir Se
1 1 2
Direct
0.0000 0.0000 0.0000
0.2552 0.2552 0.9916
0.6734 0.6734 0.6435
0.8270 0.8270 0.3446
```


CaZn2Au after structural relaxation. Source: the Alexandria database, functional PBE-GGA.

**Energy of formation from the pure elements**: -0.2718 eV/atom
**Crystal system**: orthorhombic

Geometry as POSCAR:
```
CaZn2Au
1.0
3.4555 0.0000 0.0000
0.0000 3.5593 0.0000
0.0000 0.0000 6.5275
Ca Zn Au
1 2 1
Direct
0.0000 0.0000 0.0000
0.5000 0.5000 0.2950
0.5000 0.5000 0.7050
0.0000 0.0000 0.5000
```


Mg2Co2Au after structural relaxation. Source: the Alexandria database, functional PBE-GGA.

**E above lowest polymorph**: 0.518 eV/atom
**Energy of formation from the pure elements**: 0.5137 eV/atom
**Crystal system**: tetragonal

Geometry as POSCAR:
```
Mg2Co2Au
1.0
-1.9210 1.9210 5.7468
1.9210 -1.9210 5.7468
1.9210 1.9210 -5.7468
Mg Co Au
2 2 1
Direct
0.2500 0.7500 0.5000
0.7500 0.2500 0.5000
0.0919 0.0919 0.0000
0.9081 0.9081 0.0000
0.5000 0.5000 0.0000
```


CsKLaSc2 after structural relaxation. Source: the Alexandria database, functional PBE-GGA.

**Energy of formation from the pure elements**: 1.2943 eV/atom
**Crystal system**: tetragonal

Geometry as POSCAR:
```
CsKLaSc2
1.0
5.7357 0.0000 0.0000
0.0000 5.7357 0.0000
0.0000 0.0000 6.0028
Cs K La Sc
1 1 1 2
Direct
0.0000 0.0000 0.0000
0.0000 0.0000 0.5000
0.5000 0.5000 0.0000
0.0000 0.5000 0.5000
0.5000 0.0000 0.5000
```


AcCeGa after structural relaxation. Source: the Alexandria database, functional PBE-GGA.

**E above lowest polymorph**: 0.000 eV/atom
**Energy of formation from the pure elements**: -0.3529 eV/atom
**Crystal system**: monoclinic

Geometry as POSCAR:
```
AcCeGa
1.0
4.6078 0.0000 0.0000
0.0000 4.4193 0.0000
-0.2175 0.0000 8.8288
Ac Ce Ga
2 2 2
Direct
0.2470 0.2500 0.3654
0.7530 0.7500 0.6346
0.1952 0.7500 0.0092
0.8048 0.2500 0.9908
0.2699 0.2500 0.7554
0.7301 0.7500 0.2446
```


Li2SbW after structural relaxation. Source: the Alexandria database, functional PBE-GGA.

**Energy relative to the elements, uncorrected**: 0.419 eV per atom
**Crystal system**: trigonal

Geometry as POSCAR:
```
Li2SbW
1.0
1.4733 0.8506 9.6480
-1.4733 0.8506 9.6480
0.0000 -1.7012 9.6480
Li Sb W
2 1 1
Direct
0.2492 0.2492 0.2492
0.7508 0.7508 0.7508
0.0000 0.0000 0.0000
0.5000 0.5000 0.5000
```